(1)
Computed, not measured: a relaxed ReOs3Pd crystal at the PBEsol level of DFT.

Space group   Pm-3m

a = 4.5221 Å, b = 4.5221 Å, c = 4.5221 Å
α = 90.00°, β = 90.00°, γ = 90.00°
Fractional coordinates of all 5 atoms:
Re 0.0000 0.0000 0.0000
Os 0.0000 0.5000 0.5000
Os 0.5000 0.0000 0.5000
Os 0.5000 0.5000 0.0000
Pd 0.5000 0.5000 0.5000


(2)
Computed, not measured: a relaxed YIrSeBr2 crystal at the PBEsol level of DFT.

Space group   P4/mmm
Polymorph energy (0 for the lowest one)   0.000 eV per atom
Formation energy (no corrections)   -199.1 meV/atom

a = 4.9215 Å, b = 4.9215 Å, c = 4.9459 Å
α = 90.00°, β = 90.00°, γ = 90.00°
Fractional coordinates of all 5 atoms:
Y 0.0000 0.0000 0.0000
Ir 0.5000 0.5000 0.5000
Se 0.5000 0.5000 0.0000
Br 0.0000 0.5000 0.5000
Br 0.5000 0.0000 0.5000


| no. | V (Å³/cell) | electronic total energy (eV per cell) | total magnetization (μB/cell) |
| --- | --- | --- | --- |
| 1 | 92.5 | -40.0 | 0.2 |
| 2 | 119.8 | -25.2 | 0.0 |